# 1
Computed, not measured: crystalline BaNa2Tl6 at its relaxed geometry at the PBE-GGA level of DFT.

The space group is P4_2/mnm (No. 136) and the conventional cell measures 10.470, 10.470 and 5.165 Å, with angles of 90.00, 90.00 and 90.00 degrees. The distinct sites, in fractional coordinates, are Ba at (0.000, 0.000, 0.000), Na at (0.195, 0.195, 0.500), Tl at (0.019, 0.344, 0.000) and Tl at (0.164, 0.836, 0.500).

The raw total energy comes out at -2.24 eV per atom. The calculated formation energy comes out at -156 meV per atom. As for the offset from the most stable computed form: 0 meV per atom.


# 2
Computed, not measured: crystalline BaNaTl at its relaxed geometry at the PBE-GGA level of DFT.

The space group is I4mm (No. 107) and the conventional cell measures 4.361, 4.361 and 11.893 Å, with angles of 90.00, 90.00 and 90.00 degrees. The distinct sites, in fractional coordinates, are Ba at (0.000, 0.000, 0.000), Na at (0.000, 0.000, 0.701) and Tl at (0.000, 0.000, 0.326).

The raw total energy comes out at -2.07 eV per atom. The calculated formation energy comes out at -196 meV per atom. As for the offset from the most stable computed form: 21 meV per atom.


# 3
Computed, not measured: crystalline Ba3Na4Tl4 at its relaxed geometry at the PBE-GGA level of DFT.

The space group is Immm (No. 71) and the conventional cell measures 5.307, 9.144 and 17.058 Å, with angles of 90.00, 90.00 and 90.00 degrees. The distinct sites, in fractional coordinates, are Ba at (0.000, 0.000, 0.000), Ba at (0.000, 0.500, 0.119), Na at (0.000, 0.314, 0.327), Tl at (0.000, 0.000, 0.231) and Tl at (0.000, 0.178, 0.500).

The raw total energy comes out at -2.05 eV per atom. The calculated formation energy comes out at -187 meV per atom. As for the offset from the most stable computed form: 4 meV per atom.


# 4
Computed, not measured: crystalline BaNa4Tl8 at its relaxed geometry at the PBE-GGA level of DFT.

The space group is I4/mmm (No. 139) and the conventional cell measures 11.014, 11.014 and 6.462 Å, with angles of 90.00, 90.00 and 90.00 degrees. The distinct sites, in fractional coordinates, are Ba at (0.000, 0.000, 0.000), Na at (0.250, 0.250, 0.250), Tl at (0.000, 0.214, 0.500) and Tl at (0.000, 0.355, 0.000).

The raw total energy comes out at -2.14 eV per atom. The calculated formation energy comes out at -131 meV per atom.


# 5
Computed, not measured: crystalline Ba3Na2Tl2 at its relaxed geometry at the PBE-GGA level of DFT.

The space group is Cmmm (No. 65) and the conventional cell measures 4.333, 33.511 and 4.269 Å, with angles of 90.00, 90.00 and 90.00 degrees. The distinct sites, in fractional coordinates, are Ba at (0.000, 0.000, 0.000), Ba at (0.000, 0.124, 0.000), Na at (0.000, 0.291, 0.500) and Tl at (0.000, 0.437, 0.500).

The raw total energy comes out at -2.10 eV per atom. The calculated formation energy comes out at -224 meV per atom.


# 6
Computed, not measured: crystalline BaNa2Tl9 at its relaxed geometry at the PBE-GGA level of DFT.

The space group is P4/mmm (No. 123) and the conventional cell measures 5.008, 5.008 and 14.692 Å, with angles of 90.00, 90.00 and 90.00 degrees. The distinct sites, in fractional coordinates, are Ba at (0.000, 0.000, 0.000), Na at (0.000, 0.000, 0.337), Tl at (0.000, 0.500, 0.179), Tl at (0.000, 0.500, 0.500), Tl at (0.500, 0.500, 0.000) and Tl at (0.500, 0.500, 0.335).

The raw total energy comes out at -2.28 eV per atom. The calculated formation energy comes out at -123 meV per atom. As for the offset from the most stable computed form: 0 meV per atom.


# 7
Computed, not measured: crystalline Ba3NaTl12 at its relaxed geometry at the PBE-GGA level of DFT.

The space group is P4/mmm (No. 123) and the conventional cell measures 5.117, 5.117 and 19.869 Å, with angles of 90.00, 90.00 and 90.00 degrees. The distinct sites, in fractional coordinates, are Ba at (0.000, 0.000, 0.000), Ba at (0.000, 0.000, 0.262), Na at (0.000, 0.000, 0.500), Tl at (0.000, 0.500, 0.129), Tl at (0.000, 0.500, 0.388), Tl at (0.500, 0.500, 0.000), Tl at (0.500, 0.500, 0.248) and Tl at (0.500, 0.500, 0.500).

The raw total energy comes out at -2.42 eV per atom. The calculated formation energy comes out at -200 meV per atom.


# 8
Computed, not measured: crystalline BaNaTl at its relaxed geometry at the PBE-GGA level of DFT.

The space group is P-62m (No. 189) and the conventional cell measures 9.3734, 9.3734 and 4.6201 Å, with angles of 90.00, 90.00 and 120.00 degrees. The distinct sites, in fractional coordinates, are Ba at (0.0000, 0.5943, 0.0000), Na at (0.0000, 0.2511, 0.5000), Tl at (0.0000, 0.0000, 0.0000) and Tl at (0.3333, 0.6667, 0.5000).

The raw total energy comes out at -2.09 eV per atom. The calculated formation energy comes out at -217 meV per atom. As for the offset from the most stable computed form: 0 meV per atom.


# 9
Computed, not measured: crystalline BaNaTl2 at its relaxed geometry at the PBE-GGA level of DFT.

The space group is Cmcm (No. 63) and the conventional cell measures 5.587, 12.078 and 8.152 Å, with angles of 90.00, 90.00 and 90.00 degrees. The distinct sites, in fractional coordinates, are Ba at (0.000, 0.105, 0.250), Na at (0.000, 0.199, 0.750) and Tl at (0.000, 0.379, 0.057).

The raw total energy comes out at -2.24 eV per atom. The calculated formation energy comes out at -244 meV per atom.


# 10
Computed, not measured: crystalline Ba4Na3Tl at its relaxed geometry at the PBE-GGA level of DFT.

The space group is P4/mmm (No. 123) and the conventional cell measures 4.382, 4.382 and 19.956 Å, with angles of 90.00, 90.00 and 90.00 degrees. The distinct sites, in fractional coordinates, are Ba at (0.000, 0.000, 0.101), Ba at (0.000, 0.000, 0.368), Na at (0.500, 0.500, 0.236), Na at (0.500, 0.500, 0.500) and Tl at (0.500, 0.500, 0.000).

The raw total energy comes out at -1.87 eV per atom. The calculated formation energy comes out at -116 meV per atom.


# 11
Computed, not measured: crystalline BaNaTl14 at its relaxed geometry at the PBE-GGA level of DFT.

The space group is Amm2 (No. 38) and the conventional cell measures 10.905, 8.219 and 11.264 Å, with angles of 90.00, 90.00 and 90.00 degrees. The distinct sites, in fractional coordinates, are Ba at (0.000, 0.000, 0.000), Na at (0.000, 0.000, 0.435), Tl at (0.000, 0.199, 0.716), Tl at (0.247, 0.000, 0.249), Tl at (0.253, 0.214, 0.521), Tl at (0.262, 0.000, 0.790), Tl at (0.500, 0.000, 0.000), Tl at (0.500, 0.000, 0.462) and Tl at (0.500, 0.236, 0.732).

The raw total energy comes out at -2.34 eV per atom. The calculated formation energy comes out at -66 meV per atom.


# 12
Computed, not measured: crystalline Ba5Na2Tl at its relaxed geometry at the PBE-GGA level of DFT.

The space group is I4/mcm (No. 140) and the conventional cell measures 9.343, 9.343 and 18.742 Å, with angles of 90.00, 90.00 and 90.00 degrees. The distinct sites, in fractional coordinates, are Ba at (0.000, 0.000, 0.000), Ba at (0.174, 0.326, 0.157), Na at (0.120, 0.380, 0.500) and Tl at (0.000, 0.000, 0.250).

The raw total energy comes out at -1.89 eV per atom. The calculated formation energy comes out at -63 meV per atom.


# 13
Computed, not measured: crystalline Ba2NaTl2 at its relaxed geometry at the PBE-GGA level of DFT.

The space group is P4/mbm (No. 127) and the conventional cell measures 9.628, 9.628 and 4.494 Å, with angles of 90.00, 90.00 and 90.00 degrees. The distinct sites, in fractional coordinates, are Ba at (0.167, 0.333, 0.000), Na at (0.000, 0.000, 0.500) and Tl at (0.129, 0.629, 0.500).

The raw total energy comes out at -2.26 eV per atom. The calculated formation energy comes out at -281 meV per atom. As for the offset from the most stable computed form: 12 meV per atom.


# 14
Computed, not measured: crystalline Ba2NaTl2 at its relaxed geometry at the PBE-GGA level of DFT.

The space group is Cmmm (No. 65) and the conventional cell measures 5.441, 17.643 and 4.340 Å, with angles of 90.00, 90.00 and 90.00 degrees. The distinct sites, in fractional coordinates, are Ba at (0.000, 0.138, 0.000), Na at (0.000, 0.500, 0.500) and Tl at (0.000, 0.307, 0.500).

The raw total energy comes out at -2.27 eV per atom. The calculated formation energy comes out at -293 meV per atom. As for the offset from the most stable computed form: 0 meV per atom.


# 15
Computed, not measured: crystalline BaNa2Tl6 at its relaxed geometry at the PBE-GGA level of DFT.

The space group is Immm (No. 71) and the conventional cell measures 3.661, 9.427 and 16.363 Å, with angles of 90.00, 90.00 and 90.00 degrees. The distinct sites, in fractional coordinates, are Ba at (0.000, 0.000, 0.000), Na at (0.000, 0.500, 0.148), Tl at (0.000, 0.163, 0.500) and Tl at (0.000, 0.322, 0.323).

The raw total energy comes out at -2.22 eV per atom. The calculated formation energy comes out at -133 meV per atom. As for the offset from the most stable computed form: 24 meV per atom.


# 16
Computed, not measured: crystalline BaNaTl2 at its relaxed geometry at the PBE-GGA level of DFT.

The space group is P4/mmm (No. 123) and the conventional cell measures 4.034, 4.034 and 8.176 Å, with angles of 90.00, 90.00 and 90.00 degrees. The distinct sites, in fractional coordinates, are Ba at (0.000, 0.000, 0.000), Na at (0.000, 0.000, 0.500) and Tl at (0.500, 0.500, 0.294).

The raw total energy comes out at -2.25 eV per atom. The calculated formation energy comes out at -253 meV per atom.


# 17
Computed, not measured: crystalline Ba2Na2Tl3 at its relaxed geometry at the PBE-GGA level of DFT.

The space group is Cmmm (No. 65) and the conventional cell measures 4.253, 29.372 and 4.114 Å, with angles of 90.00, 90.00 and 90.00 degrees. The distinct sites, in fractional coordinates, are Ba at (0.000, 0.074, 0.000), Na at (0.000, 0.205, 0.000), Tl at (0.000, 0.349, 0.500) and Tl at (0.000, 0.500, 0.500).

The raw total energy comes out at -2.18 eV per atom. The calculated formation energy comes out at -239 meV per atom. As for the offset from the most stable computed form: 0 meV per atom.


# 18
Computed, not measured: crystalline Ba2NaTl4 at its relaxed geometry at the PBE-GGA level of DFT.

The space group is Cmmm (No. 65) and the conventional cell measures 6.490, 16.515 and 5.424 Å, with angles of 90.00, 90.00 and 90.00 degrees. The distinct sites, in fractional coordinates, are Ba at (0.000, 0.162, 0.000), Na at (0.000, 0.500, 0.500), Tl at (0.000, 0.302, 0.500) and Tl at (0.000, 0.409, 0.000).

The raw total energy comes out at -2.25 eV per atom. The calculated formation energy comes out at -160 meV per atom.


# 19
Computed, not measured: crystalline Ba3NaTl at its relaxed geometry at the PBE-GGA level of DFT.

The space group is Cmce (No. 64) and the conventional cell measures 15.672, 13.789 and 9.792 Å, with angles of 90.00, 90.00 and 90.00 degrees. The distinct sites, in fractional coordinates, are Ba at (0.000, 0.067, 0.190), Ba at (0.140, 0.171, 0.592), Na at (0.250, 0.074, 0.250) and Tl at (0.000, 0.198, 0.872).

The raw total energy comes out at -1.99 eV per atom. The calculated formation energy comes out at -101 meV per atom. As for the offset from the most stable computed form: 65 meV per atom.


# 20
Computed, not measured: crystalline Ba2Na2Tl at its relaxed geometry at the PBE-GGA level of DFT.

The space group is P4/mbm (No. 127) and the conventional cell measures 8.440, 8.440 and 5.845 Å, with angles of 90.00, 90.00 and 90.00 degrees. The distinct sites, in fractional coordinates, are Ba at (0.191, 0.309, 0.000), Na at (0.132, 0.632, 0.500) and Tl at (0.000, 0.000, 0.500).

The raw total energy comes out at -1.81 eV per atom. The calculated formation energy comes out at -42 meV per atom. As for the offset from the most stable computed form: 154 meV per atom.